The following is a DFT calculation (PBE+U) of a relaxed CrRe2F crystal.

Output
space group: Fm-3m
energy relative to the lowest polymorph listed for this composition: 0 meV/atom

abc: 4.201 4.201 4.201
angles: 60.00 60.00 60.00
Sites, in units of the cell vectors:
Cr (0.000, 0.000, 0.000)
Re (0.250, 0.250, 0.250)
Re (0.750, 0.750, 0.750)
F (0.500, 0.500, 0.500)